The following is a PBEsol calculation of Rh3C4 after structural relaxation, from Alexandria via LeMat-Bulk.

POSCAR file:
```
Rh3C4
1.0
5.6658 0.0000 0.0000
-2.8329 4.9067 0.0000
0.0000 0.0000 2.6315
Rh C
3 4
direct
0.0000 0.5000 0.0000 Rh
0.5000 0.0000 0.0000 Rh
0.5000 0.5000 0.0000 Rh
0.0000 0.0000 0.2548 C
0.0000 0.0000 0.7452 C
0.3333 0.6667 0.5000 C
0.6667 0.3333 0.5000 C
```

Output
Total DFT energy (no corrections) = -8.153 eV/atom
Calculated formation energy = 0.845 eV per atom
Total magnetic moment = 0.000 μB per atom